(1)
{
  "formula": "Er4Al3Ni",
  "functional": "PBE",
  "state": "optimized geometry",
  "lattice": [[3.7195, 0.0000, 0.0000], [0.0000, 4.4037, 0.0000], [0.0000, 0.0000, 11.1745]],
  "species": ["Ni", "Er", "Er", "Er", "Er", "Al", "Al", "Al"],
  "frac_coords": [[0.5000, 0.5000, 0.0656], [0.5000, 0.5000, 0.3321], [0.0000, 0.5000, 0.8704], [0.5000, 0.0000, 0.6584], [0.0000, 0.0000, 0.1439], [0.0000, 0.5000, 0.5664], [0.5000, 0.0000, 0.9345], [0.0000, 0.0000, 0.4286]],
  "dft_energy_ev_per_atom": -4.7988,
  "ef_ev_per_atom": -0.3913,
  "magmom_total_mub_per_cell": 0.00
}

(2)
{
  "formula": "MgZrAsRh2",
  "functional": "PBE",
  "state": "optimized geometry",
  "lattice": [[4.4923, 0.0000, 0.0000], [0.0000, 4.7081, 0.0000], [0.0000, 0.0000, 4.4923]],
  "species": ["Mg", "Zr", "Rh", "Rh", "As"],
  "frac_coords": [[0.0000, 0.0000, 0.0000], [0.5000, 0.5000, 0.5000], [0.0000, 0.0000, 0.5000], [0.5000, 0.0000, 0.0000], [0.0000, 0.5000, 0.0000]],
  "dft_energy_ev_per_atom": -5.4162,
  "ef_ev_per_atom": 0.4828,
  "magmom_total_mub_per_cell": 0.00
}

Which formula does entry 2 have?
MgZrAsRh2